The following is a SCAN calculation of a crystal of TiSi2O6 relaxed with PBEsol, from the Alexandria database.

CIF file:
```
data_TiSi2O6
_cell_length_a 9.643
_cell_length_b 8.738
_cell_length_c 5.330
_cell_angle_alpha 90.00
_cell_angle_beta 109.86
_cell_angle_gamma 90.00
_symmetry_space_group_name_H-M 'C 1 2/c 1'
_symmetry_Int_Tables_number 15
loop_
_symmetry_equiv_pos_as_xyz
'x,y,z'
'-x,-y,-z'
'-x,y,-z+1/2'
'x,-y,z+1/2'
'x+1/2,y+1/2,z'
'-x+1/2,-y+1/2,-z'
'-x+1/2,y+1/2,-z+1/2'
'x+1/2,-y+1/2,z+1/2'
loop_
_atom_site_label
_atom_site_type_symbol
_atom_site_fract_x
_atom_site_fract_y
_atom_site_fract_z
_atom_site_occupancy
Ti1 Ti 0.000 0.107 0.250 1
Si1 Si 0.203 0.416 0.252 1
O1 O 0.115 0.069 0.632 1
O2 O 0.140 0.241 0.228 1
O3 O 0.142 0.491 0.957 1
```

=====

The following is a SCAN calculation of a crystal of Ti2SiO relaxed with PBEsol, from the Alexandria database.

CIF file:
```
data_Ti2SiO
_cell_length_a 5.920
_cell_length_b 5.920
_cell_length_c 5.920
_cell_angle_alpha 90.00
_cell_angle_beta 90.00
_cell_angle_gamma 90.00
_symmetry_space_group_name_H-M 'F m -3 m'
_symmetry_Int_Tables_number 225
_symmetry_space_group_name_Hall '-F 4 2 3'
loop_
_atom_site_label
_atom_site_type_symbol
_atom_site_fract_x
_atom_site_fract_y
_atom_site_fract_z
_atom_site_occupancy
Ti1 Ti 0.250 0.250 0.250 1
Si1 Si 0.000 0.000 0.000 1
O1 O 0.000 0.000 0.500 1
```

=====

The following is a SCAN calculation of a crystal of TiZnSiO5 relaxed with PBEsol, from the Alexandria database.

CIF file:
```
data_TiZnSiO5
_cell_length_a 7.132
_cell_length_b 8.082
_cell_length_c 7.297
_cell_angle_alpha 90.00
_cell_angle_beta 116.04
_cell_angle_gamma 90.00
_symmetry_space_group_name_H-M 'C 1 c 1'
_symmetry_Int_Tables_number 9
loop_
_symmetry_equiv_pos_as_xyz
'x,y,z'
'x,-y,z+1/2'
'x+1/2,y+1/2,z'
'x+1/2,-y+1/2,z+1/2'
loop_
_atom_site_label
_atom_site_type_symbol
_atom_site_fract_x
_atom_site_fract_y
_atom_site_fract_z
_atom_site_occupancy
Ti1 Ti 0.000 0.008 0.000 1
Zn1 Zn 0.373 0.211 0.144 1
Si1 Si 0.018 0.348 0.277 1
O1 O 0.016 0.088 0.775 1
O2 O 0.085 0.227 0.134 1
O3 O 0.220 0.459 0.421 1
O4 O 0.329 0.026 0.642 1
O5 O 0.455 0.272 0.923 1
```

=====

The following is a SCAN calculation of a crystal of TiZnSi4O10 relaxed with PBEsol, from the Alexandria database.

CIF file:
```
data_TiZnSi4O10
_cell_length_a 7.245
_cell_length_b 7.245
_cell_length_c 14.938
_cell_angle_alpha 90.00
_cell_angle_beta 90.00
_cell_angle_gamma 90.00
_symmetry_space_group_name_H-M 'P 4/n c c'
_symmetry_Int_Tables_number 130
loop_
_symmetry_equiv_pos_as_xyz
'x,y,z'
'-x,-y,-z'
'-y+1/2,x,z'
'y+1/2,-x,-z'
'-x+1/2,-y+1/2,z'
'x+1/2,y+1/2,-z'
'y,-x+1/2,z'
'-y,x+1/2,-z'
'x+1/2,-y,-z+1/2'
'-x+1/2,y,z+1/2'
'-y,-x,-z+1/2'
'y,x,z+1/2'
'-x,y+1/2,-z+1/2'
'x,-y+1/2,z+1/2'
'y+1/2,x+1/2,-z+1/2'
'-y+1/2,-x+1/2,z+1/2'
loop_
_atom_site_label
_atom_site_type_symbol
_atom_site_fract_x
_atom_site_fract_y
_atom_site_fract_z
_atom_site_occupancy
Ti1 Ti 0.250 0.250 0.067 1
Zn1 Zn 0.250 0.750 0.000 1
Si1 Si 0.015 0.595 0.146 1
O1 O 0.001 0.184 0.873 1
O2 O 0.022 0.667 0.426 1
O3 O 0.068 0.568 0.250 1
```

=====

The following is a SCAN calculation of a crystal of Tl3SiO relaxed with PBEsol, from the Alexandria database.

CIF file:
```
data_Tl3SiO
_cell_length_a 4.868
_cell_length_b 4.868
_cell_length_c 4.868
_cell_angle_alpha 90.00
_cell_angle_beta 90.00
_cell_angle_gamma 90.00
_symmetry_space_group_name_H-M 'P m -3 m'
_symmetry_Int_Tables_number 221
_symmetry_space_group_name_Hall '-P 4 2 3'
loop_
_atom_site_label
_atom_site_type_symbol
_atom_site_fract_x
_atom_site_fract_y
_atom_site_fract_z
_atom_site_occupancy
Tl1 Tl 0.000 0.000 0.500 1
Si1 Si 0.500 0.500 0.500 1
O1 O 0.000 0.000 0.000 1
```

=====

The following is a SCAN calculation of a crystal of Tl6Si2O7 relaxed with PBEsol, from the Alexandria database.

CIF file:
```
data_Tl6Si2O7
_cell_length_a 9.6050
_cell_length_b 9.6050
_cell_length_c 7.9388
_cell_angle_alpha 90.00
_cell_angle_beta 90.00
_cell_angle_gamma 120.00
_symmetry_space_group_name_H-M 'P -3'
_symmetry_Int_Tables_number 147
loop_
_symmetry_equiv_pos_as_xyz
'x,y,z'
'-x,-y,-z'
'-y,x-y,z'
'y,-x+y,-z'
'-x+y,-x,z'
'x-y,x,-z'
loop_
_atom_site_label
_atom_site_type_symbol
_atom_site_fract_x
_atom_site_fract_y
_atom_site_fract_z
_atom_site_occupancy
Tl1 Tl 0.0346 0.3491 0.1320 1
Tl2 Tl 0.0484 0.3532 0.6200 1
Si1 Si 0.3333 0.6667 0.3338 1
Si2 Si 0.3333 0.6667 0.9153 1
O1 O 0.1458 0.5493 0.3892 1
O2 O 0.1467 0.5448 0.8594 1
O3 O 0.3333 0.6667 0.1244 1
```

=====

The following is a SCAN calculation of a crystal of VSi4O10 relaxed with PBEsol, from the Alexandria database.

CIF file:
```
data_VSi4O10
_cell_length_a 7.424
_cell_length_b 7.424
_cell_length_c 15.329
_cell_angle_alpha 90.00
_cell_angle_beta 90.00
_cell_angle_gamma 90.00
_symmetry_space_group_name_H-M 'P 4/n c c'
_symmetry_Int_Tables_number 130
loop_
_symmetry_equiv_pos_as_xyz
'x,y,z'
'-x,-y,-z'
'-y+1/2,x,z'
'y+1/2,-x,-z'
'-x+1/2,-y+1/2,z'
'x+1/2,y+1/2,-z'
'y,-x+1/2,z'
'-y,x+1/2,-z'
'x+1/2,-y,-z+1/2'
'-x+1/2,y,z+1/2'
'-y,-x,-z+1/2'
'y,x,z+1/2'
'-x,y+1/2,-z+1/2'
'x,-y+1/2,z+1/2'
'y+1/2,x+1/2,-z+1/2'
'-y+1/2,-x+1/2,z+1/2'
loop_
_atom_site_label
_atom_site_type_symbol
_atom_site_fract_x
_atom_site_fract_y
_atom_site_fract_z
_atom_site_occupancy
V1 V 0.250 0.250 0.072 1
Si1 Si 0.017 0.066 0.352 1
O1 O 0.000 0.221 0.873 1
O2 O 0.029 0.529 0.250 1
O3 O 0.044 0.126 0.089 1
```

=====

The following is a SCAN calculation of a crystal of V2SiO7 relaxed with PBEsol, from the Alexandria database.

CIF file:
```
data_V2SiO7
_cell_length_a 8.195
_cell_length_b 8.195
_cell_length_c 8.195
_cell_angle_alpha 90.00
_cell_angle_beta 90.00
_cell_angle_gamma 90.00
_symmetry_space_group_name_H-M 'P a -3'
_symmetry_Int_Tables_number 205
_symmetry_space_group_name_Hall '-P 2ac 2ab 3'
loop_
_atom_site_label
_atom_site_type_symbol
_atom_site_fract_x
_atom_site_fract_y
_atom_site_fract_z
_atom_site_occupancy
V1 V 0.124 0.124 0.124 1
Si1 Si 0.000 0.000 0.500 1
O1 O 0.000 0.000 0.000 1
O2 O 0.062 0.181 0.598 1
```

=====

The following is a SCAN calculation of a crystal of SiWO3 relaxed with PBEsol, from the Alexandria database.

CIF file:
```
data_SiWO3
_cell_length_a 3.910
_cell_length_b 3.910
_cell_length_c 3.910
_cell_angle_alpha 90.00
_cell_angle_beta 90.00
_cell_angle_gamma 90.00
_symmetry_space_group_name_H-M 'P m -3 m'
_symmetry_Int_Tables_number 221
_symmetry_space_group_name_Hall '-P 4 2 3'
loop_
_atom_site_label
_atom_site_type_symbol
_atom_site_fract_x
_atom_site_fract_y
_atom_site_fract_z
_atom_site_occupancy
Si1 Si 0.000 0.000 0.000 1
W1 W 0.500 0.500 0.500 1
O1 O 0.000 0.500 0.500 1
```

=====

The following is a SCAN calculation of a crystal of ZnSi4WO10 relaxed with PBEsol, from the Alexandria database.

CIF file:
```
data_ZnSi4WO10
_cell_length_a 7.306
_cell_length_b 7.306
_cell_length_c 14.917
_cell_angle_alpha 90.00
_cell_angle_beta 90.00
_cell_angle_gamma 90.00
_symmetry_space_group_name_H-M 'P 4/n c c'
_symmetry_Int_Tables_number 130
loop_
_symmetry_equiv_pos_as_xyz
'x,y,z'
'-x,-y,-z'
'-y+1/2,x,z'
'y+1/2,-x,-z'
'-x+1/2,-y+1/2,z'
'x+1/2,y+1/2,-z'
'y,-x+1/2,z'
'-y,x+1/2,-z'
'x+1/2,-y,-z+1/2'
'-x+1/2,y,z+1/2'
'-y,-x,-z+1/2'
'y,x,z+1/2'
'-x,y+1/2,-z+1/2'
'x,-y+1/2,z+1/2'
'y+1/2,x+1/2,-z+1/2'
'-y+1/2,-x+1/2,z+1/2'
loop_
_atom_site_label
_atom_site_type_symbol
_atom_site_fract_x
_atom_site_fract_y
_atom_site_fract_z
_atom_site_occupancy
Zn1 Zn 0.250 0.750 0.000 1
Si1 Si 0.013 0.598 0.146 1
W1 W 0.250 0.250 0.073 1
O1 O 0.003 0.183 0.872 1
O2 O 0.028 0.665 0.426 1
O3 O 0.069 0.569 0.250 1
```

=====

In eV per formula unit, the uncorrected energy values for the records above are, in order, -101.48; -50.76; -92.74; -175.01; -231.83; -523.38; -161.71; -114.58; -103.49; -223.94.
In eV/f.u., the ΔE_f (raw) values for the records above are, in order, -28.0; -2.5; -22.0; -43.1; 1.5; -25.6; -41.8; -26.0; -5.1; -38.4.
In states/eV/f.u., the DOS(E_F) values for the records above are, in order, 0.000; 4.626; 0.000; 6.386; 2.834; 0.000; 0.000; 0.000; 2.317; 0.744.